1.
Compound: CdFe2CuMo
Source: Alexandria via LeMat-Bulk
Functional: PBE
Structure: relaxed

Summary:
crystal system	tetragonal
calculated total energy	-25.09	eV for the cell shown
formation enthalpy at 0 K	1535	meV per atom

Cell: 4.4253 4.4253 5.2805 Å, 90.00 90.00 90.00°
Space group P4/mmm (No. 123)
One atom of each set of equivalent atoms:
Cd 0.0000 0.0000 0.0000 [1 per cell]
Fe 0.0000 0.5000 0.5000 [2 per cell]
Cu 0.5000 0.5000 0.0000 [1 per cell]
Mo 0.0000 0.0000 0.5000 [1 per cell]

2.
Compound: BaSi2I2
Source: Alexandria via LeMat-Bulk
Functional: PBE
Structure: relaxed

Summary:
crystal system	tetragonal
calculated total energy	-30.30	eV for the cell shown
formation energy (no corrections)	0.144	eV/atom

Cell: 9.1584 9.1584 4.0118 Å, 90.00 90.00 90.00°
Space group P4/mbm (No. 127)
One atom of each set of equivalent atoms:
Ba 0.0000 0.0000 0.0000 [2 per cell]
Si 0.2109 0.2891 0.5000 [4 per cell]
I 0.1420 0.6420 0.0000 [4 per cell]

3.
Compound: KSnHgTe
Source: Alexandria via LeMat-Bulk
Functional: PBE
Structure: relaxed

Summary:
crystal system	cubic
calculated total energy	-37.96	eV for the cell shown
formation energy (no corrections)	-0.237	eV/atom

Cell: 7.9682 7.9682 7.9682 Å, 90.00 90.00 90.00°
Space group F-43m (No. 216)
One atom of each set of equivalent atoms:
K 0.0000 0.0000 0.0000 [4 per cell]
Sn 0.0000 0.0000 0.5000 [4 per cell]
Hg 0.2500 0.2500 0.2500 [4 per cell]
Te 0.2500 0.2500 0.7500 [4 per cell]

4.
Compound: Eu2AlPd
Source: Alexandria via LeMat-Bulk
Functional: PBE
Structure: relaxed

Summary:
crystal system	tetragonal
calculated total energy	-31.17	eV for the cell shown
formation enthalpy at 0 K	-421	meV per atom

Cell: 3.7756 3.7756 7.0648 Å, 90.00 90.00 90.00°
Space group P4/mmm (No. 123)
One atom of each set of equivalent atoms:
Eu 0.0000 0.0000 0.2404 [2 per cell]
Al 0.5000 0.5000 0.5000 [1 per cell]
Pd 0.5000 0.5000 0.0000 [1 per cell]

calculated total energy of number 2 (BaSi2I2)? -30.30 eV for the cell shown

Look up the calculated total energy of the fourth one. -31.17 eV for the cell shown

Number 1 is which compound? CdFe2CuMo

What is the calculated total energy in the third record? -37.96 eV for the cell shown